The following is a DFT calculation (PBE-GGA) of Pr2DyGa4Pd3 after structural relaxation.

a = 4.275 Å, b = 4.275 Å, c = 11.697 Å
α = 90.00°, β = 90.00°, γ = 90.00°
Atoms (fractional coordinates):
Pr 0.000 0.500 0.226
Pr 0.500 0.000 0.774
Dy 0.000 0.000 0.500
Ga 0.000 0.000 0.000
Ga 0.000 0.500 0.667
Ga 0.500 0.000 0.333
Ga 0.500 0.500 0.000
Pd 0.000 0.500 0.879
Pd 0.500 0.000 0.121
Pd 0.500 0.500 0.500

Calculated values
The calculation puts the volume at 213.7 Å³ per cell. Its density of states at the Fermi level is 10.2 states/eV per cell. The total energy is -4.905 eV per atom. The calculation puts the energy of formation from the pure elements at -0.72 eV per atom.